A plane-wave DFT calculation with PBE-GGA was carried out for a relaxed structure of CaZn2In.

Geometry as POSCAR:
```
CaZn2In
1.0
-5.650 -1.288 -0.420
2.618 -0.862 5.177
-1.060 2.489 1.758
Zn Ca In
2 1 1
direct
0.000 0.000 0.000
0.500 0.000 0.500
0.000 0.500 0.500
0.500 0.500 0.000
```

Calculated values
**Total energy**: -7.3 eV per cell
**Fermi-level density of states**: 0.5092 states/eV/atom
**Crystal system**: monoclinic
**ΔE_f**: -1.0 kJ/mol of atoms
**SG**: C2/m, No. 12